Entry 1:
Density functional theory data (GGA-PBE) for crystalline NaYNb3 at its relaxed geometry.

Geometry as extended XYZ:
```
5
Lattice="4.856 0.000 0.000 0.000 4.856 0.000 0.000 0.000 4.856" Properties=species:S:1:pos:R:3 pbc="T T T"
Na 0.000 0.000 0.000
Y 2.428 2.428 2.428
Nb 0.000 0.000 2.428
Nb 0.000 2.428 0.000
Nb 2.428 0.000 0.000
```

Properties
- density of states at the Fermi level (states/eV/f.u.) = 5.07
- ΔE to the lowest computed polymorph (kJ per mole of atoms) = 0.0
- total magnetization (μB per cell) = 0.00
- DFT formation energy (eV/f.u.) = 8.8
- SG = Pm-3m
- calculated total energy (eV per atom) = -5.84



Entry 2:
Density functional theory data (GGA-PBE) for crystalline Er2GaPd4 at its relaxed geometry.

Geometry as extended XYZ:
```
7
Lattice="-2.317 2.317 7.110 2.317 -2.317 7.110 2.317 2.317 -7.110" Properties=species:S:1:pos:R:3 pbc="T T T"
Er 0.000 0.000 1.958
Er 0.000 0.000 12.261
Ga 0.000 0.000 7.110
Pd 2.317 0.000 0.000
Pd 0.000 0.000 4.645
Pd 0.000 2.317 0.000
Pd 0.000 0.000 9.575
```

Properties
- density of states at the Fermi level (states/eV/f.u.) = 3.61
- total magnetization (μB per cell) = 0.00
- DFT formation energy (eV/f.u.) = -3.0
- SG = I4/mmm
- calculated total energy (eV per atom) = -5.13



Entry 3:
Density functional theory data (GGA-PBE) for crystalline LiYP2 at its relaxed geometry.

Geometry as extended XYZ:
```
4
Lattice="3.483 0.000 0.000 0.000 3.558 0.000 -0.028 0.000 5.601" Properties=species:S:1:pos:R:3 pbc="T T T"
Li 0.000 0.000 0.000
Y -0.014 0.000 2.800
P 1.714 1.779 4.458
P 1.740 1.779 1.143
```

Properties
- density of states at the Fermi level (states/eV/f.u.) = 2.26
- ΔE to the lowest computed polymorph (kJ per mole of atoms) = 15.6
- total magnetization (μB per cell) = 0.00
- DFT formation energy (eV/f.u.) = -2.8
- SG = P2/m
- calculated total energy (eV per atom) = -5.51



Entry 4:
Density functional theory data (GGA-PBE) for crystalline Ba2TaRh at its relaxed geometry.

Geometry as extended XYZ:
```
8
Lattice="-5.999 5.999 2.405 5.999 -5.999 2.405 5.999 5.999 -2.405" Properties=species:S:1:pos:R:3 pbc="T T T"
Ba -0.982 3.000 0.601
Ba 3.000 5.017 1.804
Ba 0.982 8.999 0.601
Ba -3.000 6.982 1.804
Ta 5.999 0.000 1.203
Ta 0.000 0.000 2.405
Rh 0.000 0.000 0.000
Rh 0.000 5.999 1.203
```

Properties
- density of states at the Fermi level (states/eV/f.u.) = 7.27
- ΔE to the lowest computed polymorph (kJ per mole of atoms) = 39.5
- total magnetization (μB per cell) = 3.67
- DFT formation energy (eV/f.u.) = 2.4
- SG = I-42d
- calculated total energy (eV per atom) = -5.15



Entry 5:
Density functional theory data (GGA-PBE) for crystalline ZnSe2Cl at its relaxed geometry.

Geometry as extended XYZ:
```
8
Lattice="-2.172 2.172 10.127 2.172 -2.172 10.127 2.172 2.172 -10.127" Properties=species:S:1:pos:R:3 pbc="T T T"
Zn 0.000 0.000 0.000
Zn 0.000 2.172 5.063
Se 3.257 0.581 -2.532
Se 0.581 1.086 2.532
Se -1.086 1.590 7.595
Se 1.590 1.086 12.659
Cl 2.172 0.000 5.063
Cl 0.000 0.000 10.127
```

Properties
- formation energy (no corrections) (meV per atom) = -30
- density of states at the Fermi level (states/eV/f.u.) = 0.96
- ΔE to the lowest computed polymorph (kJ per mole of atoms) = 33.9
- total magnetization (μB per cell) = 0.00
- SG = I-42d
- calculated total energy (eV per atom) = -2.55



Entry 6:
Density functional theory data (GGA-PBE) for crystalline HfReTe2 at its relaxed geometry.

Geometry as extended XYZ:
```
8
Lattice="-2.361 2.361 8.707 2.361 -2.361 8.707 2.361 2.361 -8.707" Properties=species:S:1:pos:R:3 pbc="T T T"
Hf 0.000 0.000 0.000
Hf 0.000 2.361 4.353
Re 2.361 0.000 4.353
Re 0.000 0.000 8.707
Te 1.180 -1.066 6.530
Te 1.295 1.180 2.177
Te 1.180 3.426 -2.177
Te 1.066 1.180 10.883
```

Properties
- formation energy (no corrections) (meV per atom) = 498
- density of states at the Fermi level (states/eV/f.u.) = 5.97
- ΔE to the lowest computed polymorph (kJ per mole of atoms) = 20.7
- total magnetization (μB per cell) = 0.00
- SG = I-42d
- calculated total energy (eV per atom) = -6.67